Record 1
Here is a relaxed structure of LiInSn from Alexandria. Energies are from PBE.

CIF file:
```
data_LiInSn
_chemical_formula_sum 'Li4 In4 Sn4'
_space_group_name_H-M_alt 'C 1 2 1'
_space_group_IT_number 5
_cell_length_a 5.4058
_cell_length_b 9.5665
_cell_length_c 6.0383
_cell_angle_alpha 90.00
_cell_angle_beta 115.47
_cell_angle_gamma 90.00
loop_
_space_group_symop_operation_xyz
'x,y,z'
'-x,y,-z'
'x+1/2,y+1/2,z'
'-x+1/2,y+1/2,-z'
loop_
_atom_site_label
_atom_site_fract_x
_atom_site_fract_y
_atom_site_fract_z
_atom_site_occupancy
Li1 0.0000 0.0000 0.0000 1
Li2 0.0000 0.2408 0.5000 1
In1 0.0000 0.3309 0.0000 1
In2 0.0000 0.6693 0.0000 1
Sn1 0.0000 0.5731 0.5000 1
Sn2 0.0000 0.9083 0.5000 1
```

As for the volume: 23.5 A^3/atom. The value obtained for the calculated total energy is -3.06 eV per atom. The calculation puts the formation energy at -176 meV/atom.

Record 2
Here is a relaxed structure of CoTcCl4 from Alexandria. Energies are from PBE.

CIF file:
```
data_CoTcCl4
_chemical_formula_sum 'Co4 Tc4 Cl16'
_space_group_name_H-M_alt 'F -4 3 m'
_space_group_IT_number 216
_space_group_name_Hall 'F -4 2 3'
_cell_length_a 8.1907
_cell_length_b 8.1907
_cell_length_c 8.1907
_cell_angle_alpha 90.00
_cell_angle_beta 90.00
_cell_angle_gamma 90.00
loop_
_atom_site_label
_atom_site_fract_x
_atom_site_fract_y
_atom_site_fract_z
_atom_site_occupancy
Co1 0.0000 0.0000 0.0000 1
Tc1 0.2500 0.2500 0.7500 1
Cl1 0.1254 0.1254 0.3746 1
```

As for the volume: 22.9 A^3/atom. As for the uncorrected formation energy: 1.3514 eV/atom. The value obtained for the calculated total energy is -2.79 eV per atom.

Record 3
Here is a relaxed structure of Nd2ScGa from Alexandria. Energies are from PBE.

CIF file:
```
data_Nd2ScGa
_chemical_formula_sum 'Nd2 Sc1 Ga1'
_space_group_name_H-M_alt 'P 4/m m m'
_space_group_IT_number 123
_space_group_name_Hall '-P 4 2'
_cell_length_a 3.6772
_cell_length_b 3.6772
_cell_length_c 8.2484
_cell_angle_alpha 90.00
_cell_angle_beta 90.00
_cell_angle_gamma 90.00
loop_
_atom_site_label
_atom_site_fract_x
_atom_site_fract_y
_atom_site_fract_z
_atom_site_occupancy
Nd1 0.0000 0.0000 0.2227 1
Sc1 0.5000 0.5000 0.5000 1
Ga1 0.5000 0.5000 0.0000 1
```

As for the volume: 27.9 A^3/atom. The value obtained for the calculated total energy is -4.92 eV per atom. The value obtained for the excess energy over the best structure of this formula in the dataset is 14 kJ/mol of formula units. The calculation puts the formation energy at -199 meV/atom.

What did the second record say?
Here is a relaxed structure of CoTcCl4 from Alexandria. Energies are from PBE.

CIF file:
```
data_CoTcCl4
_chemical_formula_sum 'Co4 Tc4 Cl16'
_space_group_name_H-M_alt 'F -4 3 m'
_space_group_IT_number 216
_space_group_name_Hall 'F -4 2 3'
_cell_length_a 8.1907
_cell_length_b 8.1907
_cell_length_c 8.1907
_cell_angle_alpha 90.00
_cell_angle_beta 90.00
_cell_angle_gamma 90.00
loop_
_atom_site_label
_atom_site_fract_x
_atom_site_fract_y
_atom_site_fract_z
_atom_site_occupancy
Co1 0.0000 0.0000 0.0000 1
Tc1 0.2500 0.2500 0.7500 1
Cl1 0.1254 0.1254 0.3746 1
```

As for the volume: 22.9 A^3/atom. As for the uncorrected formation energy: 1.3514 eV/atom. The value obtained for the calculated total energy is -2.79 eV per atom.

Copy entry 3 word for word.
Here is a relaxed structure of Nd2ScGa from Alexandria. Energies are from PBE.

CIF file:
```
data_Nd2ScGa
_chemical_formula_sum 'Nd2 Sc1 Ga1'
_space_group_name_H-M_alt 'P 4/m m m'
_space_group_IT_number 123
_space_group_name_Hall '-P 4 2'
_cell_length_a 3.6772
_cell_length_b 3.6772
_cell_length_c 8.2484
_cell_angle_alpha 90.00
_cell_angle_beta 90.00
_cell_angle_gamma 90.00
loop_
_atom_site_label
_atom_site_fract_x
_atom_site_fract_y
_atom_site_fract_z
_atom_site_occupancy
Nd1 0.0000 0.0000 0.2227 1
Sc1 0.5000 0.5000 0.5000 1
Ga1 0.5000 0.5000 0.0000 1
```

As for the volume: 27.9 A^3/atom. The value obtained for the calculated total energy is -4.92 eV per atom. The value obtained for the excess energy over the best structure of this formula in the dataset is 14 kJ/mol of formula units. The calculation puts the formation energy at -199 meV/atom.

Which of these has the lowest calculated total energy?
Nd2ScGa